[1]
Be2Os2Pt after structural relaxation, computed with PBE.

Results
Electronic total energy, eV/atom: -7.3212
Size of the total moment, Bohr magnetons per cell: 0.00

Lattice parameters (Å, degrees): 5.6689 5.6689 3.6751 90.00 90.00 90.00
Fractional positions:
Os  0.3246  0.1754  0.5000
Os  0.8246  0.3246  0.5000
Os  0.6754  0.8246  0.5000
Os  0.1754  0.6754  0.5000
Pt  0.0000  0.0000  0.0000
Pt  0.5000  0.5000  0.0000
Be  0.8743  0.6257  0.0000
Be  0.1257  0.3743  0.0000
Be  0.6257  0.1257  0.0000
Be  0.3743  0.8743  0.0000

---

[2]
MgNbIr3 after structural relaxation, computed with PBE.

Results
Size of the total moment, Bohr magnetons per cell: 0.00
ΔE to the lowest computed polymorph, meV per atom: 0

Lattice parameters (Å, degrees): 4.7859 4.7859 4.7859 90.00 90.00 90.00
Fractional positions:
Ir  0.0000  0.5000  0.0000
Ir  0.0000  0.0000  0.5000
Ir  0.5000  0.0000  0.0000
Nb  0.0000  0.0000  0.0000
Mg  0.5000  0.5000  0.5000

---

[3]
Na2Mn2Cl7 after structural relaxation, computed with PBE.

Results
Size of the total moment, Bohr magnetons per cell: 9.00
Formation energy from raw total energies, eV/f.u.: -14.2

Lattice parameters (Å, degrees): 6.5952 7.3289 7.3289 116.17 93.45 93.45
Each line ends with the local moment (μB).
Fractional positions:
Na  0.5000  0.6938  0.3062  0.00
Na  0.5000  0.3062  0.6938  0.00
Cl  0.7765  0.5733  0.5733  0.05
Cl  0.2235  0.4267  0.4267  0.05
Cl  0.7314  0.0601  0.3966  0.04
Cl  0.2686  0.6034  0.9399  0.04
Cl  0.0000  0.0000  0.0000  -0.01
Cl  0.2686  0.9399  0.6034  0.04
Cl  0.7314  0.3966  0.0601  0.04
Mn  0.1274  0.7267  0.7267  4.02
Mn  0.8726  0.2733  0.2733  4.02

---

[4]
PaCoTcH6 after structural relaxation, computed with PBE.

Results
Electronic total energy, eV/atom: -5.4090
Size of the total moment, Bohr magnetons per cell: 0.00

Lattice parameters (Å, degrees): 4.4275 4.4275 4.2408 90.00 90.00 60.00
Fractional positions:
H  0.4932  0.4928  0.7792
H  0.0139  0.4932  0.7792
H  0.0139  0.4928  0.2207
H  0.4932  0.0140  0.2207
H  0.4928  0.0140  0.7792
H  0.4928  0.4932  0.2207
Co  0.3333  0.3333  0.5000
Pa  0.0000  0.0000  0.0000
Tc  0.6666  0.6667  0.5000